{"formula": "MnPtO3", "functional": "GGA+U", "state": "relaxed", "space_group": "C2/m", "energy_ev_per_cell": -65.99, "lattice_angstrom": [[-0.010, 4.667, -2.695], [2.652, -4.182, -2.126], [-5.551, -1.657, 0.201]], "species": ["Pt", "Pt", "O", "O", "O", "O", "O", "O", "Mn", "Mn"], "fractional_positions": [[0.831, 0.169, 0.500], [0.169, 0.831, 0.500], [0.611, 0.254, 0.712], [0.389, 0.746, 0.288], [0.746, 0.389, 0.288], [0.989, 0.989, 0.733], [0.011, 0.011, 0.267], [0.254, 0.611, 0.712], [0.319, 0.319, 0.154], [0.681, 0.681, 0.846]]}